No. 1
The following is a PBE+U calculation of a relaxed structure of VCrPbO4, from Alexandria.

Values from the calculation:
E_tot = -6.96 eV/atom
crystal system = monoclinic
magnetic moment = 10.0 μB/cell

The structure in CIF format:
```
data_VCrPbO4
_symmetry_space_group_name_H-M 'P 1 21/m 1'
_symmetry_Int_Tables_number 11
_cell_length_a 5.6516
_cell_length_b 5.6725
_cell_length_c 6.8208
_cell_angle_alpha 90.00
_cell_angle_beta 106.20
_cell_angle_gamma 90.00
loop_
_symmetry_equiv_pos_as_xyz
'x,y,z'
'-x,-y,-z'
'-x,y+1/2,-z'
'x,-y+1/2,z'
loop_
_atom_site_label
_atom_site_fract_x
_atom_site_fract_y
_atom_site_fract_z
V1 0.1961 0.2500 0.1661
Cr1 0.3930 0.7500 0.0063
Pb1 0.2241 0.7500 0.4645
O1 0.0740 0.7500 0.0764
O2 0.1067 0.2500 0.4101
O3 0.4754 0.0318 0.1785
```


No. 2
The following is a PBE+U calculation of a relaxed structure of CrPbWO2, from Alexandria.

Values from the calculation:
E_tot = -4.72 eV/atom
crystal system = tetragonal
magnetic moment = 9.4 μB/cell

The structure in CIF format:
```
data_CrPbWO2
_symmetry_space_group_name_H-M 'P 4/m m m'
_symmetry_Int_Tables_number 123
_symmetry_space_group_name_Hall '-P 4 2'
_cell_length_a 4.2893
_cell_length_b 4.2893
_cell_length_c 6.2275
_cell_angle_alpha 90.00
_cell_angle_beta 90.00
_cell_angle_gamma 90.00
loop_
_atom_site_label
_atom_site_fract_x
_atom_site_fract_y
_atom_site_fract_z
Cr1 0.0000 0.0000 0.0000
Pb1 0.5000 0.5000 0.5000
W1 0.5000 0.5000 0.0000
O1 0.0000 0.5000 0.5000
```


No. 3
The following is a PBE+U calculation of a relaxed structure of Cr2PbWO8, from Alexandria.

Values from the calculation:
E_tot = -7.12 eV/atom
crystal system = orthorhombic
magnetic moment = 12.0 μB/cell

The structure in CIF format:
```
data_Cr2PbWO8
_symmetry_space_group_name_H-M 'C m m m'
_symmetry_Int_Tables_number 65
_symmetry_space_group_name_Hall '-C 2 2'
_cell_length_a 6.5455
_cell_length_b 6.7125
_cell_length_c 6.4571
_cell_angle_alpha 90.00
_cell_angle_beta 90.00
_cell_angle_gamma 90.00
loop_
_atom_site_label
_atom_site_fract_x
_atom_site_fract_y
_atom_site_fract_z
Cr1 0.0000 0.0000 0.2419
Pb1 0.0000 0.5000 0.5000
W1 0.0000 0.5000 0.0000
O1 0.0000 0.3004 0.2189
O2 0.1813 0.0000 0.5000
O3 0.1995 0.0000 0.0000
```


No. 4
The following is a PBE+U calculation of a relaxed structure of CrPb2WO6, from Alexandria.

Values from the calculation:
E_tot = -6.75 eV/atom
crystal system = tetragonal
magnetic moment = 4.0 μB/cell

The structure in CIF format:
```
data_CrPb2WO6
_symmetry_space_group_name_H-M 'P 4 m m'
_symmetry_Int_Tables_number 99
_cell_length_a 5.6906
_cell_length_b 5.6906
_cell_length_c 4.0463
_cell_angle_alpha 90.00
_cell_angle_beta 90.00
_cell_angle_gamma 90.00
loop_
_symmetry_equiv_pos_as_xyz
'x,y,z'
'-y,x,z'
'-x,-y,z'
'y,-x,z'
'-x,y,z'
'y,x,z'
'x,-y,z'
'-y,-x,z'
loop_
_atom_site_label
_atom_site_fract_x
_atom_site_fract_y
_atom_site_fract_z
Cr1 0.0000 0.0000 0.0000
Pb1 0.0000 0.5000 0.4690
W1 0.5000 0.5000 0.0014
O1 0.0000 0.0000 0.5064
O2 0.2527 0.2527 0.0184
O3 0.5000 0.5000 0.5057
```


No. 5
The following is a PBE+U calculation of a relaxed structure of ZnCrPb2O6, from Alexandria.

Values from the calculation:
E_tot = -5.80 eV/atom
crystal system = trigonal
magnetic moment = 7.1 μB/cell

The structure in CIF format:
```
data_ZnCrPb2O6
_symmetry_space_group_name_H-M 'R 3'
_symmetry_Int_Tables_number 146
_symmetry_space_group_name_Hall 'R 3'
_cell_length_a 5.5571
_cell_length_b 5.5571
_cell_length_c 14.3026
_cell_angle_alpha 90.00
_cell_angle_beta 90.00
_cell_angle_gamma 120.00
loop_
_atom_site_label
_atom_site_fract_x
_atom_site_fract_y
_atom_site_fract_z
Zn1 0.0000 0.0000 0.0000
Cr1 0.0000 0.0000 0.5112
Pb1 0.0000 0.0000 0.2264
Pb2 0.0000 0.0000 0.7246
O1 0.0022 0.6242 0.7725
O2 0.0327 0.4122 0.2706
```


No. 6
The following is a PBE+U calculation of a relaxed structure of ZnCr2PbO8, from Alexandria.

Values from the calculation:
E_tot = -6.17 eV/atom
crystal system = trigonal
magnetic moment = 0.0 μB/cell

The structure in CIF format:
```
data_ZnCr2PbO8
_symmetry_space_group_name_H-M 'R -3'
_symmetry_Int_Tables_number 148
_symmetry_space_group_name_Hall '-R 3'
_cell_length_a 5.0276
_cell_length_b 5.0276
_cell_length_c 21.8690
_cell_angle_alpha 90.00
_cell_angle_beta 90.00
_cell_angle_gamma 120.00
loop_
_atom_site_label
_atom_site_fract_x
_atom_site_fract_y
_atom_site_fract_z
Zn1 0.0000 0.0000 0.0000
Cr1 0.0000 0.0000 0.2534
Pb1 0.0000 0.0000 0.5000
O1 0.0000 0.0000 0.1770
O2 0.0078 0.6873 0.7240
```


No. 7
The following is a PBE+U calculation of a relaxed structure of Zn3Cr4PbO12, from Alexandria.

Values from the calculation:
E_tot = -6.26 eV/atom
crystal system = cubic
magnetic moment = 16.0 μB/cell

The structure in CIF format:
```
data_Zn3Cr4PbO12
_symmetry_space_group_name_H-M 'I m -3'
_symmetry_Int_Tables_number 204
_symmetry_space_group_name_Hall '-I 2 2 3'
_cell_length_a 7.4930
_cell_length_b 7.4930
_cell_length_c 7.4930
_cell_angle_alpha 90.00
_cell_angle_beta 90.00
_cell_angle_gamma 90.00
loop_
_atom_site_label
_atom_site_fract_x
_atom_site_fract_y
_atom_site_fract_z
Zn1 0.0000 0.0000 0.5000
Cr1 0.2500 0.2500 0.2500
Pb1 0.0000 0.0000 0.0000
O1 0.0000 0.1862 0.3036
```


No. 8
The following is a PBE+U calculation of a relaxed structure of Zr2CrPbO, from Alexandria.

Values from the calculation:
E_tot = -7.42 eV/atom
crystal system = tetragonal
magnetic moment = 4.2 μB/cell

The structure in CIF format:
```
data_Zr2CrPbO
_symmetry_space_group_name_H-M 'P 4/m m m'
_symmetry_Int_Tables_number 123
_symmetry_space_group_name_Hall '-P 4 2'
_cell_length_a 4.5780
_cell_length_b 4.5780
_cell_length_c 4.3299
_cell_angle_alpha 90.00
_cell_angle_beta 90.00
_cell_angle_gamma 90.00
loop_
_atom_site_label
_atom_site_fract_x
_atom_site_fract_y
_atom_site_fract_z
Zr1 0.0000 0.5000 0.0000
Cr1 0.0000 0.0000 0.5000
Pb1 0.5000 0.5000 0.5000
O1 0.0000 0.0000 0.0000
```


No. 9
The following is a PBE+U calculation of a relaxed structure of ZrCr2PbO8, from Alexandria.

Values from the calculation:
E_tot = -7.33 eV/atom
crystal system = monoclinic
magnetic moment = 4.0 μB/cell

The structure in CIF format:
```
data_ZrCr2PbO8
_symmetry_space_group_name_H-M 'C 1 2/m 1'
_symmetry_Int_Tables_number 12
_cell_length_a 8.8585
_cell_length_b 5.8239
_cell_length_c 7.4080
_cell_angle_alpha 90.00
_cell_angle_beta 90.03
_cell_angle_gamma 90.00
loop_
_symmetry_equiv_pos_as_xyz
'x,y,z'
'-x,-y,-z'
'-x,y,-z'
'x,-y,z'
'x+1/2,y+1/2,z'
'-x+1/2,-y+1/2,-z'
'-x+1/2,y+1/2,-z'
'x+1/2,-y+1/2,z'
loop_
_atom_site_label
_atom_site_fract_x
_atom_site_fract_y
_atom_site_fract_z
Zr1 0.0000 0.0000 0.0000
Cr1 0.1394 0.5000 0.2304
Pb1 0.0000 0.0000 0.5000
O1 0.0300 0.2454 0.2077
O2 0.2108 0.5000 0.4377
O3 0.2338 0.0000 0.9416
```


No. 10
The following is a PBE+U calculation of a relaxed structure of ZrCrPbO6, from Alexandria.

Values from the calculation:
E_tot = -7.25 eV/atom
crystal system = trigonal
magnetic moment = 0.0 μB/cell

The structure in CIF format:
```
data_ZrCrPbO6
_symmetry_space_group_name_H-M 'P 3'
_symmetry_Int_Tables_number 143
_cell_length_a 5.3304
_cell_length_b 5.3304
_cell_length_c 5.3598
_cell_angle_alpha 90.00
_cell_angle_beta 90.00
_cell_angle_gamma 120.00
loop_
_symmetry_equiv_pos_as_xyz
'x,y,z'
'-y,x-y,z'
'-x+y,-x,z'
loop_
_atom_site_label
_atom_site_fract_x
_atom_site_fract_y
_atom_site_fract_z
Zr1 0.0000 0.0000 0.0000
Cr1 0.6667 0.3333 0.8972
Pb1 0.3333 0.6667 0.4013
O1 0.3620 0.0749 0.7475
O2 0.3677 0.3212 0.1515
```


No. 11
The following is a PBE+U calculation of a relaxed structure of CrPdO3, from Alexandria.

Values from the calculation:
E_tot = -5.86 eV/atom
crystal system = cubic
magnetic moment = 0.2 μB/cell

The structure in CIF format:
```
data_CrPdO3
_symmetry_space_group_name_H-M 'P m -3 m'
_symmetry_Int_Tables_number 221
_symmetry_space_group_name_Hall '-P 4 2 3'
_cell_length_a 3.7041
_cell_length_b 3.7041
_cell_length_c 3.7041
_cell_angle_alpha 90.00
_cell_angle_beta 90.00
_cell_angle_gamma 90.00
loop_
_atom_site_label
_atom_site_fract_x
_atom_site_fract_y
_atom_site_fract_z
Cr1 0.0000 0.0000 0.0000
Pd1 0.5000 0.5000 0.5000
O1 0.0000 0.0000 0.5000
```